A plane-wave DFT calculation with PBE was carried out for LiLaTlIn after structural relaxation.

a = 7.5492 Å, b = 7.5492 Å, c = 7.5492 Å
α = 90.00°, β = 90.00°, γ = 90.00°
With the nearest neighbours (Å) after each atom.
Space group F-43m (No. 216)
Symmetry-distinct sites (fractional):
Li1 0.0000 0.0000 0.0000 (multiplicity 4)  4 Tl 3.27, 4 In 3.27
La1 0.0000 0.0000 0.5000 (multiplicity 4)  4 Tl 3.27, 4 In 3.27
Tl1 0.2500 0.2500 0.7500 (multiplicity 4)  4 La 3.27, 4 Li 3.27
In1 0.2500 0.2500 0.2500 (multiplicity 4)  4 La 3.27, 4 Li 3.27


A plane-wave DFT calculation with PBE was carried out for Li2La2TmIn2 after structural relaxation.

a = 4.8555 Å, b = 4.8555 Å, c = 26.6192 Å
α = 90.00°, β = 90.00°, γ = 120.00°
With the nearest neighbours (Å) after each atom.
Space group R-3m (No. 166, hexagonal axes)
Symmetry-distinct sites (fractional):
Li1 0.0000 0.0000 0.1082 (multiplicity 6)  3 In 2.81
La1 0.0000 0.0000 0.3658 (multiplicity 6)  3 La 3.29, 4 In 3.37-3.60, 3 Li 3.45, 1 Tm 3.57
Tm1 0.0000 0.0000 0.5000 (multiplicity 3)  6 Li 3.21, 6 In 3.28, 2 La 3.57
In1 0.0000 0.0000 0.2307 (multiplicity 6)  3 Li 2.81


A plane-wave DFT calculation with PBE was carried out for Li2La2YIn5 after structural relaxation.

a = 10.4680 Å, b = 10.4680 Å, c = 4.5795 Å
α = 90.00°, β = 90.00°, γ = 90.00°
With the nearest neighbours (Å) after each atom.
Space group P4/mbm (No. 127)
Symmetry-distinct sites (fractional):
Li1 0.1154 0.3846 0.0000 (multiplicity 4)  6 In 2.86-2.97, 3 La 3.04-3.16
La1 0.1793 0.6793 0.0000 (multiplicity 4)  3 Li 3.04-3.16
Y1 0.0000 0.0000 0.0000 (multiplicity 2)  8 In 3.26
In1 0.0000 0.5000 0.5000 (multiplicity 2)  4 Li 2.86, 4 In 3.10
In2 0.0655 0.2115 0.5000 (multiplicity 8)  2 Li 2.97, 4 In 3.10-3.30, 2 Y 3.26


A plane-wave DFT calculation with PBE was carried out for Li2La2YIn2 after structural relaxation.

a = 4.8723 Å, b = 4.8723 Å, c = 26.7965 Å
α = 90.00°, β = 90.00°, γ = 120.00°
With the nearest neighbours (Å) after each atom.
Space group R-3m (No. 166, hexagonal axes)
Symmetry-distinct sites (fractional):
Li1 0.0000 0.0000 0.1062 (multiplicity 6)  3 In 2.82
La1 0.0000 0.0000 0.3653 (multiplicity 6)  3 La 3.29, 4 In 3.38-3.58, 3 Li 3.45, 1 Y 3.61
Y1 0.0000 0.0000 0.5000 (multiplicity 3)  6 Li 3.25, 6 In 3.31, 2 La 3.61
In1 0.0000 0.0000 0.2318 (multiplicity 6)  3 Li 2.82


A plane-wave DFT calculation with PBE was carried out for LiLaZnIn2 after structural relaxation.

a = 4.5892 Å, b = 4.5892 Å, c = 11.3604 Å
α = 90.00°, β = 90.00°, γ = 90.00°
With the nearest neighbours (Å) after each atom.
Space group I-4m2 (No. 119)
Symmetry-distinct sites (fractional):
Li1 0.0000 0.0000 0.0000 (multiplicity 2)  4 In 2.71
La1 0.0000 0.5000 0.7500 (multiplicity 2)  8 In 3.54, 4 Li 3.65, 4 Zn 3.65
Zn1 0.0000 0.0000 0.5000 (multiplicity 2)  4 In 2.71
In1 0.0000 0.5000 0.1265 (multiplicity 4)  2 Zn 2.71, 2 Li 2.71, 1 In 2.80


A plane-wave DFT calculation with PBE was carried out for LaLu2In after structural relaxation.

a = 3.5840 Å, b = 3.5840 Å, c = 9.1708 Å
α = 90.00°, β = 90.00°, γ = 90.00°
With the nearest neighbours (Å) after each atom.
Space group P4/mmm (No. 123)
Symmetry-distinct sites (fractional):
La1 0.0000 0.0000 0.0000 (multiplicity 1)  4 La 3.58, 8 Lu 3.62
Lu1 0.5000 0.5000 0.2823 (multiplicity 2)  4 In 3.23, 4 Lu 3.58
In1 0.0000 0.0000 0.5000 (multiplicity 1)  8 Lu 3.23, 4 In 3.58

The energy above the most stable polymorph in this dataset is 10 meV per atom.


A plane-wave DFT calculation with PBE was carried out for LaLu2In after structural relaxation.

a = 4.9002 Å, b = 4.9002 Å, c = 4.8320 Å
α = 90.00°, β = 90.00°, γ = 90.00°
With the nearest neighbours (Å) after each atom.
Space group P4/mmm (No. 123)
Symmetry-distinct sites (fractional):
La1 0.0000 0.0000 0.0000 (multiplicity 1)  8 Lu 3.44, 4 In 3.46
Lu1 0.0000 0.5000 0.5000 (multiplicity 2)  4 In 3.44, 4 La 3.44, 4 Lu 3.46
In1 0.5000 0.5000 0.0000 (multiplicity 1)  8 Lu 3.44, 4 La 3.46

The energy above the most stable polymorph in this dataset is 0 meV per atom.


no.,ΔE_f (kJ/mol of atoms)
1,-36.29
2,-25.66
3,-44.13
4,-27.53
5,-33.55
6,-21.40
7,-22.41